1.
Here is an optimized crystal structure of YCr2Ru2 from the Alexandria database. Energies are from PBE.

The formation energy is -0.0110 eV/atom. Its density of states at the Fermi level is 5.33 states/eV/cell. Its space group is No. 139.

abc: 4.2144 4.2144 5.5436
angles: 67.66 67.66 90.00
Fractional positions:
Cr (0.6205, 0.6205, 0.7590)
Cr (0.3795, 0.3795, 0.2410)
Ru (0.2500, 0.7500, 0.5000)
Ru (0.7500, 0.2500, 0.5000)
Y (0.0000, 0.0000, 0.0000)

2.
Here is an optimized crystal structure of LaYS3 from the Alexandria database. Energies are from PBE.

Its space group is No. 11. As for the formation energy from raw total energies: -2.129 eV per atom.

abc: 4.0192 7.9683 7.9298
angles: 94.88 90.00 90.00
Fractional positions:
Y (0.7500, 0.1478, 0.6731)
Y (0.2500, 0.8522, 0.3269)
S (0.2500, 0.9075, 0.6797)
S (0.7500, 0.0925, 0.3203)
S (0.7500, 0.3173, 0.9743)
S (0.7500, 0.6271, 0.3872)
S (0.2500, 0.3729, 0.6128)
S (0.2500, 0.6827, 0.0257)
La (0.2500, 0.3761, 0.2282)
La (0.7500, 0.6239, 0.7718)

3.
Here is an optimized crystal structure of Ac2SmGe3Pt4 from the Alexandria database. Energies are from PBE.

The formation energy is -0.9605 eV/atom. Its density of states at the Fermi level is 6.23 states/eV/cell. Its space group is No. 115.

abc: 4.4563 4.4563 11.2786
angles: 90.00 90.00 90.00
Fractional positions:
Pt (0.5000, 0.0000, 0.6606)
Pt (0.5000, 0.5000, 0.0000)
Pt (0.0000, 0.5000, 0.3394)
Pt (0.0000, 0.0000, 0.0000)
Ac (0.0000, 0.5000, 0.7731)
Ac (0.5000, 0.0000, 0.2269)
Sm (0.5000, 0.5000, 0.5000)
Ge (0.5000, 0.0000, 0.8846)
Ge (0.0000, 0.5000, 0.1154)
Ge (0.0000, 0.0000, 0.5000)

In the order shown, the computed total magnetic moment values come out to 0.001; 0.000; 0.000 μB per formula unit.